# 1
Here is a relaxed structure of Nd3Pd2Au from Alexandria. Energies are from PBE.

Properties
Calculated volume ... 146.7 Å³/f.u.
Energy of formation ... -619 meV/atom
Symmetry ... No. 65
Final energy ... -0.388 Ry/atom

Unit cell a=8.296 b=8.296 c=4.663 alpha=90.00 beta=90.00 gamma=152.80
Element x y z (fractional)
Nd 0.000 0.000 0.000
Nd 0.161 0.839 0.500
Nd 0.839 0.161 0.500
Pd 0.317 0.683 0.000
Pd 0.683 0.317 0.000
Au 0.500 0.500 0.500

=====

# 2
Here is a relaxed structure of HfAlNi3 from Alexandria. Energies are from PBE.

Properties
Calculated volume ... 71.0 Å³/f.u.
Energy relative to the lowest polymorph listed for this composition ... 0 meV per atom
Energy of formation ... -271 meV/atom
Symmetry ... No. 194
Final energy ... -0.476 Ry/atom

Unit cell a=5.750 b=5.750 c=4.960 alpha=90.00 beta=90.00 gamma=120.00
Element x y z (fractional)
Hf 0.333 0.667 0.250
Hf 0.667 0.333 0.750
Al 0.000 0.000 0.000
Al 0.000 0.000 0.500
Ni 0.198 0.396 0.750
Ni 0.198 0.802 0.750
Ni 0.396 0.198 0.250
Ni 0.604 0.802 0.750
Ni 0.802 0.198 0.250
Ni 0.802 0.604 0.250

=====

# 3
Here is a relaxed structure of TmPS4 from Alexandria. Energies are from PBE.

Properties
Calculated volume ... 140.1 Å³/f.u.
Symmetry ... No. 141
Final energy ... -0.391 Ry/atom
Formation energy without anion corrections ... -0.9185 eV per atom

Unit cell a=7.213 b=7.213 c=7.213 alpha=104.08 beta=104.08 gamma=120.89
Element x y z (fractional)
Tm 0.375 0.625 0.750
Tm 0.625 0.375 0.250
P 0.125 0.875 0.250
P 0.875 0.125 0.750
S 0.112 0.686 0.426
S 0.240 0.314 0.926
S 0.314 0.240 0.426
S 0.314 0.888 0.074
S 0.686 0.112 0.926
S 0.686 0.760 0.574
S 0.760 0.686 0.074
S 0.888 0.314 0.574

=====

# 4
Here is a relaxed structure of Sr2MnZn from Alexandria. Energies are from PBE.

Properties
Calculated volume ... 126.7 Å³/f.u.
Energy of formation ... 161 meV/atom
Symmetry ... No. 38
Final energy ... -0.242 Ry/atom

Unit cell a=4.466 b=6.341 c=6.341 alpha=44.91 beta=90.00 gamma=90.00
Element x y z (fractional)
Sr 0.000 0.000 0.000
Sr 0.500 0.289 0.289
Mn 0.500 0.594 0.594
Zn 0.000 0.703 0.703

=====

# 5
Here is a relaxed structure of MgFe from Alexandria. Energies are from PBE.

Properties
Calculated volume ... 32.6 Å³/f.u.
Energy of formation ... 278 meV/atom
Symmetry ... No. 164
Final energy ... -0.349 Ry/atom

Unit cell a=2.926 b=2.926 c=8.779 alpha=90.00 beta=90.00 gamma=120.00
Element x y z (fractional)
Mg 0.333 0.667 0.153
Mg 0.667 0.333 0.847
Fe 0.333 0.667 0.594
Fe 0.667 0.333 0.406

=====

# 6
Here is a relaxed structure of FeTcAs2 from Alexandria. Energies are from PBE.

Properties
Calculated volume ... 57.4 Å³/f.u.
Energy relative to the lowest polymorph listed for this composition ... 155 meV per atom
Energy of formation ... 124 meV/atom
Symmetry ... No. 12
Final energy ... -0.508 Ry/atom

Unit cell a=4.108 b=4.108 c=5.073 alpha=101.30 beta=101.30 gamma=43.27
Element x y z (fractional)
Fe 0.000 0.000 0.000
Tc 0.500 0.500 0.500
As 0.251 0.251 0.761
As 0.749 0.749 0.239

=====

# 7
Here is a relaxed structure of BeV3S from Alexandria. Energies are from PBE.

Properties
Calculated volume ... 76.9 Å³/f.u.
Energy relative to the lowest polymorph listed for this composition ... 0 meV per atom
Symmetry ... No. 221
Final energy ... -0.494 Ry/atom
Formation energy without anion corrections ... 0.3168 eV per atom

Unit cell a=4.253 b=4.253 c=4.253 alpha=90.00 beta=90.00 gamma=90.00
Element x y z (fractional)
Be 0.000 0.000 0.000
V 0.000 0.500 0.500
V 0.500 0.000 0.500
V 0.500 0.500 0.000
S 0.500 0.500 0.500

=====

# 8
Here is a relaxed structure of TbPm3Al8 from Alexandria. Energies are from PBE.

Properties
Calculated volume ... 254.2 Å³/f.u.
Energy relative to the lowest polymorph listed for this composition ... 10 meV per atom
Energy of formation ... -501 meV/atom
Symmetry ... No. 156
Final energy ... -0.336 Ry/atom

Unit cell a=5.628 b=5.628 c=9.267 alpha=90.00 beta=90.00 gamma=120.00
Element x y z (fractional)
Tb 0.000 0.000 0.000
Pm 0.000 0.000 0.364
Pm 0.667 0.333 0.501
Pm 0.667 0.333 0.864
Al 0.162 0.324 0.683
Al 0.162 0.838 0.683
Al 0.333 0.667 0.431
Al 0.333 0.667 0.933
Al 0.504 0.009 0.180
Al 0.504 0.496 0.180
Al 0.676 0.838 0.683
Al 0.991 0.496 0.180

=====

> What is the final energy in the second record?

-0.476 Ry/atom

=====

Copy entry 3 word for word.
Here is a relaxed structure of TmPS4 from Alexandria. Energies are from PBE.

Properties
Calculated volume ... 140.1 Å³/f.u.
Symmetry ... No. 141
Final energy ... -0.391 Ry/atom
Formation energy without anion corrections ... -0.9185 eV per atom

Unit cell a=7.213 b=7.213 c=7.213 alpha=104.08 beta=104.08 gamma=120.89
Element x y z (fractional)
Tm 0.375 0.625 0.750
Tm 0.625 0.375 0.250
P 0.125 0.875 0.250
P 0.875 0.125 0.750
S 0.112 0.686 0.426
S 0.240 0.314 0.926
S 0.314 0.240 0.426
S 0.314 0.888 0.074
S 0.686 0.112 0.926
S 0.686 0.760 0.574
S 0.760 0.686 0.074
S 0.888 0.314 0.574

=====

> Which value of final energy does entry 3 give?

-0.391 Ry/atom